Entry 1:
Entry from Alexandria via LeMat-Bulk: crystalline BeCd2P at its relaxed geometry (PBE).

Summary:
symmetry	No. 47
ΔE to the lowest computed polymorph	471	meV/atom
formation energy from the elements	0.424	eV/atom

Cell: 2.9441 2.8972 8.1912 Å, 89.99 90.00 90.00°
Fractional coordinates of all 4 atoms:
Cd 0.0000 0.2502 0.5408
P 0.5000 0.2500 0.2500
Cd 0.0000 0.2498 0.9592
Be 0.5000 0.7500 0.7500



Entry 2:
Entry from Alexandria via LeMat-Bulk: crystalline Be2CdP at its relaxed geometry (PBE).

Summary:
symmetry	No. 38
ΔE to the lowest computed polymorph	0	meV/atom
formation energy from the elements	0.096	eV/atom

Cell: 3.4584 3.4941 5.5851 Å, 108.27 90.00 90.00°
Fractional coordinates of all 4 atoms:
P 0.5000 0.7442 0.8633
Be 0.0000 0.8622 0.0991
Be 0.5000 0.3520 0.0789
Cd 0.0000 0.5417 0.4587



Entry 3:
Entry from Alexandria via LeMat-Bulk: crystalline BeCd2P at its relaxed geometry (PBE).

Summary:
symmetry	No. 8
ΔE to the lowest computed polymorph	0	meV/atom
formation energy from the elements	-0.047	eV/atom

Cell: 3.6367 3.6367 7.5646 Å, 76.06 76.06 59.95°
Fractional coordinates of all 4 atoms:
P 0.2167 0.2167 0.6258
Cd 0.3187 0.3187 0.2666
Cd 0.0802 0.0802 0.9850
Be 0.8844 0.8844 0.6226



Entry 4:
Entry from Alexandria via LeMat-Bulk: crystalline Be2CdP at its relaxed geometry (PBE).

Summary:
symmetry	No. 216
ΔE to the lowest computed polymorph	753	meV/atom
formation energy from the elements	0.849	eV/atom

Cell: 4.3837 4.3837 4.3837 Å, 60.00 60.00 60.00°
Fractional coordinates of all 4 atoms:
Be 0.7500 0.7500 0.7500
P 0.2500 0.2500 0.2500
Be 0.0000 0.0000 0.0000
Cd 0.5000 0.5000 0.5000



Entry 5:
Entry from Alexandria via LeMat-Bulk: crystalline BeCd2P at its relaxed geometry (PBE).

Summary:
symmetry	No. 160
ΔE to the lowest computed polymorph	43	meV/atom
formation energy from the elements	-0.005	eV/atom

Cell: 6.8876 6.8876 6.8876 Å, 30.65 30.65 30.65°
Fractional coordinates of all 4 atoms:
Be 0.7869 0.7869 0.7869
Cd 0.2377 0.2377 0.2377
P 0.4620 0.4620 0.4620
Cd 0.0134 0.0134 0.0134



Entry 6:
Entry from Alexandria via LeMat-Bulk: crystalline BeCd2P at its relaxed geometry (PBE).

Summary:
symmetry	No. 65
ΔE to the lowest computed polymorph	556	meV/atom
formation energy from the elements	0.508	eV/atom

Cell: 4.9954 4.9954 2.9907 Å, 90.00 90.00 109.65°
Fractional coordinates of all 4 atoms:
Be 0.0000 0.5000 0.5000
P 0.5000 0.0000 0.5000
Cd 0.0000 0.0000 0.0000
Cd 0.5000 0.5000 0.0000



Entry 7:
Entry from Alexandria via LeMat-Bulk: crystalline BeCd2P at its relaxed geometry (PBE).

Summary:
symmetry	No. 225
ΔE to the lowest computed polymorph	661	meV/atom
formation energy from the elements	0.614	eV/atom

Cell: 4.7013 4.7013 4.7013 Å, 60.00 60.00 60.00°
Fractional coordinates of all 4 atoms:
Cd 0.7500 0.7500 0.7500
P 0.5000 0.5000 0.5000
Be 0.0000 0.0000 0.0000
Cd 0.2500 0.2500 0.2500



Entry 8:
Entry from Alexandria via LeMat-Bulk: crystalline BeCd2P at its relaxed geometry (PBE).

Summary:
symmetry	No. 44
ΔE to the lowest computed polymorph	250	meV/atom
formation energy from the elements	0.203	eV/atom

Cell: 6.3511 6.3511 6.3511 Å, 147.86 144.93 48.31°
Fractional coordinates of all 4 atoms:
Cd 0.0362 0.0362 0.0000
Be 0.3185 0.8185 0.5000
P 0.4131 0.4131 0.0000
Cd 0.7322 0.2322 0.5000



Entry 9:
Entry from Alexandria via LeMat-Bulk: crystalline Be2CdP at its relaxed geometry (PBE).

Summary:
symmetry	No. 12
ΔE to the lowest computed polymorph	476	meV/atom
formation energy from the elements	0.572	eV/atom

Cell: 6.2657 4.5563 2.7302 Å, 90.47 63.41 123.61°
Fractional coordinates of all 4 atoms:
Cd 0.0000 0.5000 0.5000
P 0.5000 0.5000 0.0000
Be 0.0000 0.0000 0.0000
Be 0.5000 0.0000 0.5000



Entry 10:
Entry from Alexandria via LeMat-Bulk: crystalline BeCd2P at its relaxed geometry (PBE).

Summary:
symmetry	No. 166
ΔE to the lowest computed polymorph	539	meV/atom
formation energy from the elements	0.492	eV/atom

Cell: 8.5763 8.5763 8.5763 Å, 20.98 20.98 20.98°
Fractional coordinates of all 4 atoms:
Cd 0.0082 0.0082 0.0082
Cd 0.4918 0.4918 0.4918
Be 0.7500 0.7500 0.7500
P 0.2500 0.2500 0.2500



Entry 11:
Entry from Alexandria via LeMat-Bulk: crystalline Be2CdP at its relaxed geometry (PBE).

Summary:
symmetry	No. 225
ΔE to the lowest computed polymorph	612	meV/atom
formation energy from the elements	0.708	eV/atom

Cell: 4.3124 4.3124 4.3124 Å, 60.00 60.00 60.00°
Fractional coordinates of all 4 atoms:
P 0.0000 0.0000 0.0000
Be 0.2500 0.2500 0.2500
Cd 0.5000 0.5000 0.5000
Be 0.7500 0.7500 0.7500



Entry 12:
Entry from Alexandria via LeMat-Bulk: crystalline BeCd2P2 at its relaxed geometry (PBE).

Summary:
symmetry	No. 127
ΔE to the lowest computed polymorph	0	meV/atom
formation energy from the elements	0.084	eV/atom

Cell: 5.7804 5.7804 5.5148 Å, 90.00 90.00 90.00°
Fractional coordinates of all 10 atoms:
Be 0.0000 0.0000 0.0000
Cd 0.3151 0.8151 0.5000
P 0.8671 0.6329 0.0000
P 0.6329 0.1329 0.0000
Be 0.5000 0.5000 0.0000
P 0.3671 0.8671 0.0000
P 0.1329 0.3671 0.0000
Cd 0.8151 0.6849 0.5000
Cd 0.6849 0.1849 0.5000
Cd 0.1849 0.3151 0.5000



Question: ΔE to the lowest computed polymorph of number 12 (BeCd2P2)?
Answer: 0 meV/atom



Please write out number 1 again, unchanged.
Entry from Alexandria via LeMat-Bulk: crystalline BeCd2P at its relaxed geometry (PBE).

Summary:
symmetry	No. 47
ΔE to the lowest computed polymorph	471	meV/atom
formation energy from the elements	0.424	eV/atom

Cell: 2.9441 2.8972 8.1912 Å, 89.99 90.00 90.00°
Fractional coordinates of all 4 atoms:
Cd 0.0000 0.2502 0.5408
P 0.5000 0.2500 0.2500
Cd 0.0000 0.2498 0.9592
Be 0.5000 0.7500 0.7500